Record 1
SrMn2B2O6 | PBE+U | optimized geometry

Geometry as extended XYZ:
```
11
Lattice="5.3134 0.0000 0.0000 0.4159 5.5394 0.0000 2.5186 1.9767 5.0748" Properties=species:S:1:pos:R:3 pbc="T T T"
Sr 0.0000 0.0000 0.0000
Mn 2.4883 5.0166 2.7092
Mn 5.7596 2.4996 2.3656
B 2.9723 1.9659 1.5980
B 5.2755 5.5503 3.4768
O 2.5996 2.9083 2.5864
O 1.9854 1.0398 1.2409
O 4.0065 5.5875 3.9833
O 4.2414 1.9287 1.0915
O 6.2625 6.4764 3.8339
O 5.6483 4.6079 2.4885
```

Calculated values
SG: P-1, No. 2
Uncorrected energy: -7.703 eV per atom
N(E_F): 0.000 states/eV/atom
Magnetic moment: 0.91 μB per atom

---

Record 2
Sr2MnBO6 | PBE+U | optimized geometry

Geometry as extended XYZ:
```
10
Lattice="3.3001 -4.5331 0.0000 3.3001 4.5331 0.0000 -3.0223 0.0000 4.0076" Properties=species:S:1:pos:R:3 pbc="T T T"
Sr 3.3001 2.3546 0.0000
Sr 3.3001 -2.3546 0.0000
Mn 1.7890 0.0000 2.0038
B -1.5112 0.0000 2.0038
O -0.2733 0.0000 1.5870
O 1.7890 1.8940 2.0038
O 2.1416 0.0000 0.1420
O 1.4364 0.0000 3.8657
O 1.7890 -1.8940 2.0038
O 3.8512 0.0000 2.4206
```

Calculated values
SG: C2/m, No. 12
Uncorrected energy: -6.653 eV per atom
N(E_F): 0.182 states/eV/atom
Magnetic moment: 0.20 μB per atom

---

Record 3
Sr3MnB2O6 | PBE+U | optimized geometry

Geometry as extended XYZ:
```
12
Lattice="5.3178 0.0000 0.0000 -2.6589 4.6054 0.0000 0.0000 0.0000 7.4804" Properties=species:S:1:pos:R:3 pbc="T T T"
Sr 0.0000 0.0000 0.0000
Sr 0.0000 3.0703 5.2849
Sr 2.6589 1.5351 2.1956
Mn 0.0000 0.0000 3.7402
B 0.0000 3.0703 2.2265
B 2.6589 1.5351 5.2539
O 0.0000 1.6755 2.3099
O -1.2079 3.7676 2.3099
O 1.4510 0.8377 5.1706
O 1.2079 3.7676 2.3099
O 3.8668 0.8377 5.1706
O 2.6589 2.9299 5.1706
```

Calculated values
SG: P-3m1, No. 164
Uncorrected energy: -6.935 eV per atom
N(E_F): 0.178 states/eV/atom
Magnetic moment: 0.39 μB per atom